Record 1
This record from Alexandria describes a relaxed TlGaC2Cl crystal. The functional is PBE-GGA.

Cell lengths 4.3985, 4.3985, 6.5328 Å; angles 90.00, 90.00, 90.00 degrees
With the nearest neighbours (Å) after each atom.
Element x y z (fractional)
Tl (0.0000, 0.0000, 0.0000)  4 C 2.20
Ga (0.0000, 0.0000, 0.5000)  4 Cl 3.11, 2 Tl 3.27
C (0.0000, 0.5000, 0.0000)  2 Tl 2.20
C (0.5000, 0.0000, 0.0000)  2 Tl 2.20
Cl (0.5000, 0.5000, 0.5000)  4 Ga 3.11

Summary:
Formation energy from raw total energies (meV/atom): 2155
Symmetry: No. 123

Record 2
This record from Alexandria describes a relaxed Er6In3Rh crystal. The functional is PBE-GGA.

Cell lengths 9.1291, 5.2377, 11.2568 Å; angles 90.00, 107.34, 90.00 degrees
With the nearest neighbours (Å) after each atom.
Element x y z (fractional)
Er (0.0449, 0.2500, 0.4173)  6 In 3.11-3.32, 3 Er 3.35-3.45
Er (0.1894, 0.7500, 0.1666)  1 Rh 2.83, 3 In 3.15
Er (0.2804, 0.2500, 0.0026)  3 Rh 2.88-3.10, 1 In 3.14
Er (0.3489, 0.7500, 0.8261)  3 Rh 2.88-3.13
Er (0.3695, 0.2500, 0.3370)  4 In 3.27-3.61, 8 Er 3.32-3.61
Er (0.4016, 0.2500, 0.6441)  1 Rh 2.84, 1 In 3.12
Er (0.5984, 0.7500, 0.3559)  1 Rh 2.84, 1 In 3.12
Er (0.6305, 0.7500, 0.6630)  4 In 3.27-3.61, 8 Er 3.32-3.61
Er (0.6511, 0.2500, 0.1739)  3 Rh 2.88-3.13
Er (0.7196, 0.7500, 0.9974)  3 Rh 2.88-3.10, 1 In 3.14
Er (0.8106, 0.2500, 0.8334)  1 Rh 2.83, 3 In 3.15
Er (0.9551, 0.7500, 0.5827)  6 In 3.11-3.32, 3 Er 3.35-3.45
In (0.0123, 0.7500, 0.8795)  6 Er 3.15-3.32, 2 In 3.41
In (0.0984, 0.2500, 0.7177)  8 Er 3.11-3.45, 3 In 3.41-3.49
In (0.2788, 0.7500, 0.4765)  10 Er 3.23-3.57, 1 In 3.49
In (0.7212, 0.2500, 0.5235)  10 Er 3.23-3.57, 1 In 3.49
In (0.9016, 0.7500, 0.2823)  8 Er 3.11-3.45, 3 In 3.41-3.49
In (0.9877, 0.2500, 0.1205)  6 Er 3.15-3.32, 2 In 3.41
Rh (0.4600, 0.7500, 0.0937)  8 Er 2.83-3.13
Rh (0.5400, 0.2500, 0.9063)  8 Er 2.83-3.13

Summary:
Symmetry: No. 11
Energy of formation (eV/atom): -0.447

Record 3
This record from Alexandria describes a relaxed NdAl4Pt12 crystal. The functional is PBE-GGA.

Cell lengths 7.3995, 7.3995, 7.3995 Å; angles 109.47, 109.47, 109.47 degrees
With the nearest neighbours (Å) after each atom.
Element x y z (fractional)
Nd (0.0000, 0.0000, 0.0000)  12 Pt 3.23
Al (0.0000, 0.0000, 0.5000)  6 Pt 2.43
Al (0.0000, 0.5000, 0.0000)  6 Pt 2.43
Al (0.5000, 0.0000, 0.0000)  6 Pt 2.43
Al (0.5000, 0.5000, 0.5000)  6 Pt 2.43
Pt (0.1535, 0.3449, 0.4984)  2 Al 2.43, 2 Pt 2.62-2.65
Pt (0.1535, 0.6551, 0.8086)  2 Al 2.43, 2 Pt 2.62-2.65
Pt (0.1914, 0.8465, 0.3449)  2 Al 2.43, 2 Pt 2.62-2.65
Pt (0.3449, 0.1914, 0.8465)  2 Al 2.43, 2 Pt 2.62-2.65
Pt (0.3449, 0.4984, 0.1535)  2 Al 2.43, 2 Pt 2.62-2.65
Pt (0.4984, 0.1535, 0.3449)  2 Al 2.43, 2 Pt 2.62-2.65
Pt (0.5016, 0.8465, 0.6551)  2 Al 2.43, 2 Pt 2.62-2.65
Pt (0.6551, 0.5016, 0.8465)  2 Al 2.43, 2 Pt 2.62-2.65
Pt (0.6551, 0.8086, 0.1535)  2 Al 2.43, 2 Pt 2.62-2.65
Pt (0.8086, 0.1535, 0.6551)  2 Al 2.43, 2 Pt 2.62-2.65
Pt (0.8465, 0.3449, 0.1914)  2 Al 2.43, 2 Pt 2.62-2.65
Pt (0.8465, 0.6551, 0.5016)  2 Al 2.43, 2 Pt 2.62-2.65

Summary:
Symmetry: No. 204
Energy of formation (eV/atom): -0.330

Record 4
This record from Alexandria describes a relaxed Pu4GeAu crystal. The functional is PBE-GGA.

Cell lengths 6.8477, 6.8477, 6.8477 Å; angles 45.51, 45.51, 45.51 degrees
With the nearest neighbours (Å) after each atom.
Element x y z (fractional)
Pu (0.1565, 0.1565, 0.1565)  1 Ge 2.88, 3 Au 3.06, 3 Pu 3.08
Pu (0.3329, 0.3329, 0.3329)  3 Ge 3.06, 4 Pu 3.06-3.24, 1 Au 3.07
Pu (0.6671, 0.6671, 0.6671)  3 Ge 3.06, 4 Pu 3.06-3.24, 1 Au 3.07
Pu (0.8435, 0.8435, 0.8435)  1 Ge 2.88, 3 Au 3.06, 3 Pu 3.08
Ge (0.0000, 0.0000, 0.0000)  8 Pu 2.88-3.06
Au (0.5000, 0.5000, 0.5000)  8 Pu 3.06-3.07

Summary:
E above lowest polymorph (meV per atom): 161.3
Symmetry: No. 166
Energy of formation (eV/atom): -0.078

Record 5
This record from Alexandria describes a relaxed KMo2As crystal. The functional is PBE-GGA.

Cell lengths 3.3551, 3.3551, 8.0651 Å; angles 90.00, 90.00, 90.00 degrees
With the nearest neighbours (Å) after each atom.
Element x y z (fractional)
K (0.0000, 0.0000, 0.0000)  4 K 3.36, 8 Mo 3.71
Mo (0.5000, 0.5000, 0.3535)  1 Mo 2.36
Mo (0.5000, 0.5000, 0.6465)  1 Mo 2.36
As (0.0000, 0.0000, 0.5000)  8 Mo 2.65

Summary:
Symmetry: No. 123
Energy of formation (eV/atom): 0.711

Record 6
This record from Alexandria describes a relaxed Nd6MgIn crystal. The functional is PBE-GGA.

Cell lengths 5.0157, 5.0157, 10.0073 Å; angles 90.00, 90.00, 90.00 degrees
With the nearest neighbours (Å) after each atom.
Element x y z (fractional)
Nd (0.0000, 0.0000, 0.0000)  8 Nd 3.52, 4 In 3.55
Nd (0.0000, 0.0000, 0.5000)  4 Mg 3.55, 8 Nd 3.56
Nd (0.0000, 0.5000, 0.2468)  2 In 3.52, 8 Nd 3.52-3.56, 2 Mg 3.56
Nd (0.0000, 0.5000, 0.7532)  2 In 3.52, 8 Nd 3.52-3.56, 2 Mg 3.56
Nd (0.5000, 0.0000, 0.2468)  2 In 3.52, 8 Nd 3.52-3.56, 2 Mg 3.56
Nd (0.5000, 0.0000, 0.7532)  2 In 3.52, 8 Nd 3.52-3.56, 2 Mg 3.56
Mg (0.5000, 0.5000, 0.5000)  12 Nd 3.55-3.56
In (0.5000, 0.5000, 0.0000)  12 Nd 3.52-3.55

Summary:
Symmetry: No. 123
Energy of formation (eV/atom): -0.137

Calculated values (μB per formula unit) of M_tot for the records, taken in order: 3.00 0.00 0.00 23.02 0.00 0.01.